Record 1
A plane-wave DFT calculation with meta-GGA SCAN was carried out for a crystal of LaSi2Ru relaxed with PBEsol.

Calculated values
total magnetization	0.0	μB/cell
raw total energy	-25.38	eV per atom

Cell lengths 4.5048, 4.0853, 8.3096 Å; angles 90.00, 102.78, 90.00 degrees
Space group P2_1/m (No. 11)
Symmetry-distinct sites (fractional):
La 0.0911 0.2500 0.2013 x2
Si 0.1689 0.7500 0.4929 x2
Si 0.4631 0.2500 0.9083 x2
Ru 0.3819 0.2500 0.6113 x2

Record 2
A plane-wave DFT calculation with meta-GGA SCAN was carried out for a crystal of ZrMo2Os relaxed with PBEsol.

Calculated values
formation energy	0.2999	eV/atom
total magnetization	0.0	μB/cell
raw total energy	-42.79	eV per atom

Cell lengths 2.7956, 2.7956, 28.9040 Å; angles 90.00, 90.00, 120.00 degrees
Space group R3m (No. 160, hexagonal axes)
Symmetry-distinct sites (fractional):
Zr 0.0000 0.0000 0.0000 x3
Mo 0.0000 0.0000 0.2420 x3
Mo 0.0000 0.0000 0.4929 x3
Os 0.0000 0.0000 0.7535 x3

Record 3
A plane-wave DFT calculation with meta-GGA SCAN was carried out for a crystal of Be3IrW relaxed with PBEsol.

Calculated values
formation energy	0.7754	eV/atom
total magnetization	1.2	μB/cell
raw total energy	-29.99	eV per atom

Cell lengths 4.0237, 4.0237, 4.0237 Å; angles 90.00, 90.00, 90.00 degrees
Space group Pm-3m (No. 221)
Symmetry-distinct sites (fractional):
Be 0.0000 0.0000 0.5000 x3
Ir 0.0000 0.0000 0.0000 x1
W 0.5000 0.5000 0.5000 x1

Record 4
A plane-wave DFT calculation with meta-GGA SCAN was carried out for a crystal of BSeO3 relaxed with PBEsol.

Calculated values
total magnetization	0.0	μB/cell
raw total energy	-8.60	eV per atom

Cell lengths 3.7655, 3.7655, 3.7655 Å; angles 90.00, 90.00, 90.00 degrees
Space group Pm-3m (No. 221)
Symmetry-distinct sites (fractional):
B 0.0000 0.0000 0.0000 x1
Se 0.5000 0.5000 0.5000 x1
O 0.0000 0.5000 0.5000 x3